Record 1
This record from the Alexandria database describes crystalline HoH7Rh2 at its relaxed geometry. The functional is GGA-PBE. Values from VASP.

The structure in Quantum ESPRESSO input format:
```
&SYSTEM
  ibrav = 0, nat = 10, ntyp = 3
/
ATOMIC_SPECIES
H 1.01 H.upf
Rh 102.91 Rh.upf
Ho 164.93 Ho.upf
CELL_PARAMETERS angstrom
3.600 0.000 0.000
0.000 5.026 0.114
0.000 -2.166 4.537
ATOMIC_POSITIONS crystal
H 0.500 0.061 0.323
Rh 0.500 0.300 0.700
H 0.500 0.939 0.677
H 0.500 0.677 0.939
Rh 0.500 0.700 0.300
H 0.500 0.323 0.061
H 0.000 0.299 0.701
Ho 0.000 0.000 0.000
H 0.000 0.701 0.299
H 0.500 0.500 0.500
```

Values from the calculation:
energy: -4.559 eV per atom



Record 2
This record from the Alexandria database describes crystalline Ho12H5Rh3 at its relaxed geometry. The functional is GGA-PBE. Values from VASP.

The structure in Quantum ESPRESSO input format:
```
&SYSTEM
  ibrav = 0, nat = 80, ntyp = 3
/
ATOMIC_SPECIES
Ho 164.93 Ho.upf
H 1.01 H.upf
Rh 102.91 Rh.upf
CELL_PARAMETERS angstrom
12.965 0.000 0.000
-4.322 12.224 0.000
-4.322 -6.112 10.586
ATOMIC_POSITIONS crystal
Ho 0.596 0.880 0.406
H 0.375 0.125 0.750
Ho 0.974 0.380 0.284
Ho 0.026 0.620 0.716
Ho 0.190 0.094 0.974
Ho 0.906 0.810 0.526
Ho 0.880 0.284 0.474
Ho 0.474 0.690 0.094
Ho 0.620 0.026 0.216
Ho 0.284 0.404 0.810
Ho 0.096 0.906 0.380
H 0.250 0.875 0.125
Ho 0.526 0.310 0.906
Rh 0.375 0.750 0.625
Ho 0.784 0.310 0.904
Ho 0.380 0.406 0.096
Ho 0.716 0.596 0.190
Ho 0.690 0.216 0.596
H 0.500 0.500 0.000
Rh 0.250 0.125 0.375
Rh 0.875 0.125 0.250
Ho 0.380 0.974 0.784
Ho 0.094 0.904 0.120
H 0.875 0.250 0.625
Rh 0.125 0.250 0.875
Ho 0.284 0.880 0.974
H 0.750 0.625 0.375
Ho 0.310 0.784 0.404
H 0.125 0.750 0.375
Ho 0.526 0.216 0.120
H 0.500 0.500 0.500
Ho 0.406 0.026 0.310
Ho 0.906 0.096 0.880
H 0.000 0.000 0.500
Ho 0.904 0.810 0.784
Ho 0.904 0.094 0.620
Ho 0.404 0.284 0.310
Ho 0.596 0.716 0.690
H 0.000 0.500 0.500
Ho 0.310 0.526 0.406
H 0.875 0.625 0.750
Rh 0.750 0.875 0.625
Ho 0.716 0.120 0.026
Ho 0.190 0.096 0.716
Ho 0.120 0.716 0.526
Rh 0.750 0.375 0.125
Ho 0.404 0.120 0.594
Ho 0.474 0.784 0.880
Rh 0.375 0.625 0.250
Ho 0.406 0.380 0.596
H 0.625 0.750 0.875
Ho 0.594 0.620 0.404
H 0.625 0.875 0.250
Rh 0.625 0.250 0.375
Ho 0.094 0.190 0.474
Ho 0.216 0.526 0.620
Rh 0.250 0.625 0.875
Ho 0.216 0.690 0.096
Ho 0.620 0.594 0.904
H 0.750 0.125 0.875
Ho 0.120 0.404 0.094
Ho 0.026 0.406 0.810
Ho 0.784 0.474 0.380
Ho 0.594 0.974 0.690
H 0.500 0.000 0.000
H 0.250 0.375 0.625
H 0.375 0.250 0.125
H 0.125 0.375 0.250
H 0.000 0.000 0.000
H 0.000 0.500 0.000
Ho 0.880 0.596 0.906
Ho 0.690 0.474 0.594
Ho 0.810 0.906 0.026
Ho 0.810 0.904 0.284
Ho 0.974 0.594 0.190
Rh 0.125 0.875 0.750
Ho 0.096 0.190 0.216
Rh 0.625 0.375 0.750
H 0.500 0.000 0.500
Rh 0.875 0.750 0.125
```

Values from the calculation:
energy: -5.135 eV per atom



Record 3
This record from the Alexandria database describes crystalline Ho4HRh2 at its relaxed geometry. The functional is GGA-PBE. Values from VASP.

The structure in Quantum ESPRESSO input format:
```
&SYSTEM
  ibrav = 0, nat = 7, ntyp = 3
/
ATOMIC_SPECIES
Rh 102.91 Rh.upf
Ho 164.93 Ho.upf
H 1.01 H.upf
CELL_PARAMETERS angstrom
4.557 0.000 0.000
0.000 4.557 0.000
2.279 2.279 7.144
ATOMIC_POSITIONS crystal
Rh 0.626 0.626 0.747
Ho 0.813 0.813 0.375
H 0.000 0.000 0.000
Ho 0.500 0.000 0.000
Rh 0.374 0.374 0.253
Ho 0.187 0.187 0.625
Ho 0.000 0.500 0.000
```

Values from the calculation:
energy: -5.776 eV per atom



Record 4
This record from the Alexandria database describes crystalline HoH4Rh3 at its relaxed geometry. The functional is GGA-PBE. Values from VASP.

The structure in Quantum ESPRESSO input format:
```
&SYSTEM
  ibrav = 0, nat = 16, ntyp = 3
/
ATOMIC_SPECIES
H 1.01 H.upf
Rh 102.91 Rh.upf
Ho 164.93 Ho.upf
CELL_PARAMETERS angstrom
-2.659 -4.038 -2.355
3.834 -3.434 1.560
-2.675 -0.908 4.577
ATOMIC_POSITIONS crystal
H 0.750 0.750 0.250
H 0.250 0.750 0.250
Rh 0.000 0.500 0.750
Rh 0.500 0.750 0.000
H 0.750 0.250 0.750
H 0.250 0.250 0.750
Ho 0.000 0.000 0.000
Rh 0.250 0.000 0.500
H 0.750 0.250 0.250
H 0.250 0.750 0.750
H 0.750 0.750 0.750
Rh 0.500 0.250 0.000
H 0.250 0.250 0.250
Ho 0.500 0.500 0.500
Rh 0.750 0.000 0.500
Rh 0.000 0.500 0.250
```

Values from the calculation:
energy: -5.324 eV per atom



Record 5
This record from the Alexandria database describes crystalline Ho2HRh6 at its relaxed geometry. The functional is GGA-PBE. Values from VASP.

The structure in Quantum ESPRESSO input format:
```
&SYSTEM
  ibrav = 0, nat = 18, ntyp = 3
/
ATOMIC_SPECIES
Rh 102.91 Rh.upf
H 1.01 H.upf
Ho 164.93 Ho.upf
CELL_PARAMETERS angstrom
5.753 0.000 -0.151
0.000 5.754 0.000
0.213 0.000 8.042
ATOMIC_POSITIONS crystal
Rh 0.248 0.752 0.000
H 0.000 0.000 0.500
Rh 0.752 0.752 0.000
Rh 0.000 0.000 0.753
Rh 0.252 0.252 0.500
Rh 0.748 0.748 0.500
Ho 0.000 0.500 0.750
Ho 0.500 0.000 0.250
Rh 0.000 0.000 0.247
Rh 0.500 0.500 0.747
Ho 0.500 0.000 0.750
Rh 0.748 0.252 0.500
Rh 0.752 0.248 0.000
Rh 0.500 0.500 0.253
Ho 0.000 0.500 0.250
H 0.500 0.500 0.000
Rh 0.252 0.748 0.500
Rh 0.248 0.248 0.000
```

Values from the calculation:
energy: -6.824 eV per atom



Record 6
This record from the Alexandria database describes crystalline Ho2SbHRh6 at its relaxed geometry. The functional is GGA-PBE. Values from VASP.

The structure in Quantum ESPRESSO input format:
```
&SYSTEM
  ibrav = 0, nat = 10, ntyp = 4
/
ATOMIC_SPECIES
Ho 164.93 Ho.upf
Rh 102.91 Rh.upf
H 1.01 H.upf
Sb 121.76 Sb.upf
CELL_PARAMETERS angstrom
-0.776 3.611 -4.992
1.255 -4.834 -3.709
-4.049 -1.607 -4.188
ATOMIC_POSITIONS crystal
Ho 0.755 0.245 0.500
Rh 0.720 0.281 0.999
Rh 0.712 0.712 0.016
Rh 0.287 0.288 0.441
Rh 0.280 0.719 0.001
Ho 0.245 0.755 0.500
Rh 0.713 0.712 0.559
Rh 0.288 0.288 0.984
H 0.500 0.500 0.000
Sb 0.000 0.000 0.000
```

Values from the calculation:
energy: -6.548 eV per atom



Record 7
This record from the Alexandria database describes crystalline HoSiHRh2 at its relaxed geometry. The functional is GGA-PBE. Values from VASP.

The structure in Quantum ESPRESSO input format:
```
&SYSTEM
  ibrav = 0, nat = 10, ntyp = 4
/
ATOMIC_SPECIES
Rh 102.91 Rh.upf
H 1.01 H.upf
Ho 164.93 Ho.upf
Si 28.09 Si.upf
CELL_PARAMETERS angstrom
3.664 0.000 0.000
-1.832 5.380 0.000
0.000 0.000 7.182
ATOMIC_POSITIONS crystal
Rh 0.156 0.312 0.947
Rh 0.844 0.688 0.053
Rh 0.156 0.312 0.553
Rh 0.844 0.688 0.447
H 0.000 0.000 0.500
Ho 0.551 0.102 0.250
H 0.000 0.000 0.000
Si 0.728 0.455 0.750
Ho 0.449 0.898 0.750
Si 0.272 0.545 0.250
```

Values from the calculation:
energy: -6.488 eV per atom



Record 8
This record from the Alexandria database describes crystalline SrHoH8Rh2 at its relaxed geometry. The functional is GGA-PBE. Values from VASP.

The structure in Quantum ESPRESSO input format:
```
&SYSTEM
  ibrav = 0, nat = 12, ntyp = 4
/
ATOMIC_SPECIES
H 1.01 H.upf
Rh 102.91 Rh.upf
Sr 87.62 Sr.upf
Ho 164.93 Ho.upf
CELL_PARAMETERS angstrom
5.112 0.000 0.000
2.556 4.427 0.000
2.556 1.476 5.764
ATOMIC_POSITIONS crystal
H 0.616 0.098 0.857
H 0.794 0.794 0.617
H 0.902 0.570 0.143
H 0.098 0.430 0.857
H 0.570 0.384 0.143
Rh 0.307 0.307 0.078
H 0.206 0.206 0.383
H 0.384 0.902 0.143
Sr 0.500 0.500 0.500
H 0.430 0.616 0.857
Ho 0.000 0.000 0.000
Rh 0.693 0.693 0.922
```

Values from the calculation:
energy: -4.294 eV per atom



Record 9
This record from the Alexandria database describes crystalline HoTlH8Rh2 at its relaxed geometry. The functional is GGA-PBE. Values from VASP.

The structure in Quantum ESPRESSO input format:
```
&SYSTEM
  ibrav = 0, nat = 12, ntyp = 4
/
ATOMIC_SPECIES
H 1.01 H.upf
Ho 164.93 Ho.upf
Rh 102.91 Rh.upf
Tl 204.38 Tl.upf
CELL_PARAMETERS angstrom
4.069 0.000 0.000
2.035 3.524 0.000
2.035 1.175 8.742
ATOMIC_POSITIONS crystal
H 0.522 0.087 0.869
H 0.478 0.478 0.131
H 0.913 0.478 0.131
Ho 0.000 0.000 0.000
H 0.811 0.811 0.567
Rh 0.255 0.255 0.236
H 0.522 0.522 0.869
Tl 0.500 0.500 0.500
H 0.189 0.189 0.433
H 0.478 0.913 0.131
Rh 0.745 0.745 0.764
H 0.087 0.522 0.869
```

Values from the calculation:
energy: -4.024 eV per atom



Record 10
This record from the Alexandria database describes crystalline Ho2HRu at its relaxed geometry. The functional is GGA-PBE. Values from VASP.

The structure in Quantum ESPRESSO input format:
```
&SYSTEM
  ibrav = 0, nat = 4, ntyp = 3
/
ATOMIC_SPECIES
Ho 164.93 Ho.upf
Ru 101.07 Ru.upf
H 1.01 H.upf
CELL_PARAMETERS angstrom
-1.212 -1.805 -2.799
-1.950 -2.919 0.483
-6.659 2.172 -0.761
ATOMIC_POSITIONS crystal
Ho 0.240 0.240 0.280
Ru 0.000 0.000 0.000
Ho 0.760 0.760 0.720
H 0.500 0.500 0.500
```

Values from the calculation:
energy: -5.693 eV per atom



Record 11
This record from the Alexandria database describes crystalline Ho8HRu5 at its relaxed geometry. The functional is GGA-PBE. Values from VASP.

The structure in Quantum ESPRESSO input format:
```
&SYSTEM
  ibrav = 0, nat = 14, ntyp = 3
/
ATOMIC_SPECIES
Ho 164.93 Ho.upf
H 1.01 H.upf
Ru 101.07 Ru.upf
CELL_PARAMETERS angstrom
-4.150 -5.061 -3.221
6.878 -0.326 -2.407
-0.339 -1.332 7.164
ATOMIC_POSITIONS crystal
Ho 0.520 0.617 0.280
H 0.250 0.500 0.750
Ho 0.097 0.760 0.480
Ru 0.327 0.113 0.975
Ho 0.270 0.257 0.418
Ru 0.862 0.887 0.214
Ho 0.663 0.383 0.903
Ru 0.025 0.352 0.138
Ho 0.582 0.852 0.839
Ru 0.786 0.648 0.673
Ho 0.161 0.743 0.013
Ho 0.720 0.240 0.337
Ru 0.500 0.000 0.500
Ho 0.987 0.148 0.730
```

Values from the calculation:
energy: -6.449 eV per atom



Record 12
This record from the Alexandria database describes crystalline Ho12H5Ru3 at its relaxed geometry. The functional is GGA-PBE. Values from VASP.

The structure in Quantum ESPRESSO input format:
```
&SYSTEM
  ibrav = 0, nat = 80, ntyp = 3
/
ATOMIC_SPECIES
Ho 164.93 Ho.upf
H 1.01 H.upf
Ru 101.07 Ru.upf
CELL_PARAMETERS angstrom
12.965 0.000 0.000
-4.322 12.224 0.000
-4.322 -6.112 10.586
ATOMIC_POSITIONS crystal
Ho 0.189 0.094 0.971
H 0.000 0.500 0.000
Ru 0.625 0.375 0.750
Ho 0.123 0.406 0.094
Ho 0.717 0.123 0.029
H 0.000 0.000 0.000
H 0.250 0.375 0.625
Ho 0.217 0.529 0.623
Ho 0.594 0.877 0.406
H 0.500 0.500 0.000
Ru 0.875 0.750 0.125
Ho 0.189 0.094 0.717
H 0.875 0.250 0.625
H 0.500 0.500 0.500
Ho 0.689 0.471 0.594
H 0.875 0.625 0.750
Ho 0.094 0.189 0.217
Ho 0.283 0.406 0.811
Ru 0.875 0.125 0.250
Ho 0.311 0.783 0.406
H 0.250 0.875 0.125
Ho 0.623 0.029 0.217
Ho 0.689 0.217 0.594
H 0.000 0.500 0.500
H 0.625 0.750 0.875
Ho 0.406 0.123 0.594
Ho 0.717 0.594 0.189
H 0.375 0.125 0.750
Ho 0.783 0.471 0.377
Ho 0.877 0.283 0.471
H 0.750 0.125 0.875
Ho 0.094 0.189 0.471
Ho 0.377 0.406 0.094
Ho 0.594 0.717 0.689
Ho 0.406 0.377 0.594
Ho 0.283 0.877 0.971
H 0.000 0.000 0.500
Ho 0.594 0.623 0.406
Ho 0.094 0.906 0.377
Ho 0.094 0.906 0.123
Ho 0.406 0.029 0.311
Ho 0.783 0.311 0.906
Ho 0.877 0.594 0.906
Ru 0.750 0.875 0.625
Ho 0.406 0.283 0.311
Ho 0.529 0.217 0.123
Ho 0.811 0.906 0.283
Ho 0.811 0.906 0.029
Ru 0.750 0.375 0.125
H 0.500 0.000 0.000
Ru 0.125 0.250 0.875
Ho 0.971 0.594 0.189
H 0.750 0.625 0.375
H 0.125 0.375 0.250
Ho 0.029 0.406 0.811
Ho 0.971 0.377 0.283
Ho 0.906 0.811 0.783
H 0.500 0.000 0.500
Ru 0.125 0.875 0.750
Ho 0.123 0.717 0.529
Ho 0.311 0.529 0.406
Ho 0.471 0.689 0.094
Ru 0.250 0.125 0.375
Ru 0.375 0.625 0.250
Ho 0.906 0.094 0.877
Ru 0.375 0.750 0.625
Ho 0.906 0.811 0.529
Ho 0.623 0.594 0.906
Ho 0.377 0.971 0.783
H 0.625 0.875 0.250
Ho 0.217 0.689 0.094
H 0.375 0.250 0.125
Ho 0.529 0.311 0.906
H 0.125 0.750 0.375
Ru 0.625 0.250 0.375
Ho 0.471 0.783 0.877
Ru 0.250 0.625 0.875
Ho 0.594 0.971 0.689
Ho 0.029 0.623 0.717
Ho 0.906 0.094 0.623
```

Values from the calculation:
energy: -5.306 eV per atom



no.,calculated volume (A^3/atom)
1,8.30
2,20.97
3,21.19
4,9.72
5,14.80
6,16.99
7,14.16
8,10.87
9,10.45
10,18.33
11,21.29
12,20.97